No. 1
## NaMoSeN2 (GGA-PBE)

Data for crystalline NaMoSeN2 at its relaxed geometry.

It has space group P4/mmm (No. 123), with a = 3.949 Å, b = 3.949 Å, c = 5.269 Å, α = 90.00°, β = 90.00° and γ = 90.00°. The inequivalent atoms are Na at (0.000, 0.000, 0.000), Mo at (0.500, 0.500, 0.500), Se at (0.500, 0.500, 0.000) and N at (0.000, 0.500, 0.500).

Its energy above the lowest structure with this stoichiometry is 0.000 eV per atom. Its total energy is -0.2350 hartree per atom.



No. 2
## NaMoSeN2 (GGA-PBE)

Data for crystalline NaMoSeN2 at its relaxed geometry.

It has space group P4/mmm (No. 123), with a = 3.970 Å, b = 3.970 Å, c = 4.860 Å, α = 90.00°, β = 90.00° and γ = 90.00°. The inequivalent atoms are Na at (0.000, 0.000, 0.000), Mo at (0.500, 0.500, 0.500), Se at (0.000, 0.000, 0.500) and N at (0.000, 0.500, 0.000).

Its energy above the lowest structure with this stoichiometry is 2.397 eV per atom. Its total energy is -0.1469 hartree per atom.



No. 3
## NaMoSe2N (GGA-PBE)

Data for crystalline NaMoSe2N at its relaxed geometry.

It has space group P4/mmm (No. 123), with a = 5.138 Å, b = 5.138 Å, c = 3.832 Å, α = 90.00°, β = 90.00° and γ = 90.00°. The inequivalent atoms are Na at (0.000, 0.000, 0.000), Mo at (0.500, 0.500, 0.500), Se at (0.000, 0.500, 0.500) and N at (0.500, 0.500, 0.000).

Its energy above the lowest structure with this stoichiometry is 0.000 eV per atom. Its total energy is -0.2088 hartree per atom.



No. 4
## NaMoSe2N (GGA-PBE)

Data for crystalline NaMoSe2N at its relaxed geometry.

It has space group P4/mmm (No. 123), with a = 5.170 Å, b = 5.170 Å, c = 4.073 Å, α = 90.00°, β = 90.00° and γ = 90.00°. The inequivalent atoms are Na at (0.000, 0.000, 0.000), Mo at (0.500, 0.500, 0.500), Se at (0.000, 0.500, 0.000) and N at (0.000, 0.000, 0.500).

Its energy above the lowest structure with this stoichiometry is 1.793 eV per atom. Its total energy is -0.1429 hartree per atom.



No. 5
## NaSmMoN3 (GGA-PBE)

Data for crystalline NaSmMoN3 at its relaxed geometry.

It has space group C2/m (No. 12), with a = 13.717 Å, b = 3.879 Å, c = 7.160 Å, α = 90.00°, β = 105.53° and γ = 90.00°. The inequivalent atoms are Na at (0.152, 0.000, 0.077), Sm at (0.163, 0.000, 0.599), Mo at (0.004, 0.500, 0.296), N at (0.010, 0.000, 0.325), N at (0.138, 0.500, 0.817) and N at (0.157, 0.500, 0.345).

Its total energy is -0.2752 hartree per atom.



No. 6
## NaSr2MoN (GGA-PBE)

Data for crystalline NaSr2MoN at its relaxed geometry.

It has space group P4/mmm (No. 123), with a = 5.883 Å, b = 5.883 Å, c = 5.418 Å, α = 90.00°, β = 90.00° and γ = 90.00°. The inequivalent atoms are Na at (0.000, 0.000, 0.000), Sr at (0.000, 0.500, 0.500), Mo at (0.000, 0.000, 0.500) and N at (0.500, 0.500, 0.000).

Its total energy is -0.1086 hartree per atom.